(1)
Entry from Alexandria: an optimized crystal structure of RuPtRh (PBE).

The energy of formation from the pure elements comes out at -0.02 eV per atom. As for the theoretical density: 15.17 Mg/m³. Its space group is No. 129. Its density of states at the Fermi level is 1.17 states/eV/atom. As for the total energy: -22.71 eV/f.u.

Cell: 2.723 2.723 11.788 Å, 90.00 90.00 90.00°
Positions (direct):
Rh1 0.500 0.000 0.761
Pt1 0.000 0.500 0.589
Pt2 0.500 0.000 0.411
Rh2 0.000 0.500 0.239
Ru1 0.500 0.000 0.081
Ru2 0.000 0.500 0.919

---

(2)
Entry from Alexandria: an optimized crystal structure of Ru2PtRh (PBE).

The energy of formation from the pure elements comes out at 0.08 eV per atom. As for the theoretical density: 14.39 Mg/m³. Its space group is No. 166. Its density of states at the Fermi level is 1.43 states/eV/atom. As for the total energy: -31.60 eV/f.u.

Cell: 9.124 9.124 9.124 Å, 17.16 17.16 17.16°
Positions (direct):
Ru1 0.002 0.002 0.002
Pt1 0.250 0.250 0.250
Rh1 0.750 0.750 0.750
Ru2 0.498 0.498 0.498

---

(3)
Entry from Alexandria: an optimized crystal structure of RuPt2Rh6 (PBE).

The energy of formation from the pure elements comes out at 0.18 eV per atom. As for the theoretical density: 13.79 Mg/m³. Its space group is No. 12. Its density of states at the Fermi level is 1.43 states/eV/atom. As for the total energy: -63.85 eV/f.u.

Cell: 4.678 4.273 8.134 Å, 99.27 90.00 123.19°
Each line ends with the local moment (μB).
Positions (direct):
Rh1 0.673 0.345 0.277  -0.02
Rh2 0.998 0.996 0.822  0.05
Ru1 0.000 0.000 0.500  0.50
Pt1 0.668 0.336 0.941  -0.01
Rh3 0.331 0.662 0.398  0.06
Pt2 0.332 0.664 0.059  -0.01
Rh4 0.327 0.655 0.723  -0.02
Rh5 0.002 0.004 0.178  0.05
Rh6 0.669 0.338 0.602  0.06